Nd3Dy2Sc: relaxed, PBE.

abc: 6.189 7.106 9.425
angles: 100.74 96.32 106.66
Element x y z (fractional)
Nd  0.244  0.288  0.418
Nd  0.246  0.625  0.747
Nd  0.247  0.957  0.083
Nd  0.753  0.043  0.917
Nd  0.754  0.375  0.253
Nd  0.756  0.712  0.582
Dy  0.253  0.796  0.416
Dy  0.256  0.460  0.082
Dy  0.744  0.540  0.918
Dy  0.747  0.204  0.584
Sc  0.254  0.127  0.751
Sc  0.746  0.873  0.249

For the formation energy, the calculation gives 0.038 eV/atom. The total DFT energy (no corrections) comes out at -59.23 eV/cell. The calculated density comes out at 6.9 Mg/m³. As for the space-group type: No. 2. As for the relative energy among the computed polymorphs: 0.0 meV/atom.